Entry 1:
First-principles (GGA-PBE) data for crystalline Pu3Br7 at its relaxed geometry, as listed in the Alexandria database.

Cell lengths 10.223, 10.223, 6.742 Å; angles 90.00, 90.00, 120.00 degrees
Element x y z (fractional)
Pu 0.192 0.384 0.000
Pu 0.192 0.808 0.000
Pu 0.384 0.192 0.500
Pu 0.616 0.808 0.000
Pu 0.808 0.192 0.500
Pu 0.808 0.616 0.500
Br 0.083 0.542 0.732
Br 0.125 0.250 0.409
Br 0.125 0.875 0.409
Br 0.250 0.125 0.909
Br 0.333 0.667 0.231
Br 0.458 0.542 0.732
Br 0.458 0.917 0.732
Br 0.542 0.083 0.232
Br 0.542 0.458 0.232
Br 0.667 0.333 0.731
Br 0.750 0.875 0.409
Br 0.875 0.125 0.909
Br 0.875 0.750 0.909
Br 0.917 0.458 0.232

Crystal system: hexagonal

---

Entry 2:
First-principles (GGA-PBE) data for crystalline BaLiTc2 at its relaxed geometry, as listed in the Alexandria database.

Cell lengths 3.702, 4.828, 5.412 Å; angles 90.00, 103.94, 90.00 degrees
Element x y z (fractional)
Ba 0.000 0.000 0.000
Li 0.500 0.000 0.500
Tc 0.302 0.500 0.635
Tc 0.698 0.500 0.365

Crystal system: monoclinic
Energy of formation in eV/atom: 0.72
Polymorph energy (0 for the lowest one) in eV per atom: 0.3480

---

Entry 3:
First-principles (GGA-PBE) data for crystalline LaYS at its relaxed geometry, as listed in the Alexandria database.

Cell lengths 3.911, 3.911, 6.615 Å; angles 90.00, 90.00, 120.00 degrees
Element x y z (fractional)
La 0.000 0.000 0.000
Y 0.333 0.667 0.511
S 0.667 0.333 0.275

Crystal system: trigonal
Polymorph energy (0 for the lowest one) in eV per atom: 0.0149

---

Entry 4:
First-principles (GGA-PBE) data for crystalline Ho4Te2PPb at its relaxed geometry, as listed in the Alexandria database.

Cell lengths 7.417, 4.255, 7.471 Å; angles 90.00, 109.07, 90.00 degrees
Element x y z (fractional)
Ho 0.226 0.000 0.219
Ho 0.242 0.500 0.770
Ho 0.758 0.500 0.230
Ho 0.774 0.000 0.781
Te 0.000 0.000 0.500
Te 0.500 0.500 0.500
P 0.000 0.500 0.000
Pb 0.500 0.000 0.000

Crystal system: monoclinic

---

| no. | E (eV/atom) | total magnetization (μB/atom) |
| --- | --- | --- |
| 1 | -6.951 | 1.700 |
| 2 | -5.421 | 0.000 |
| 3 | -6.451 | 0.015 |
| 4 | -5.403 | 0.000 |